The following is a PBE-GGA calculation of AcTa2N6 after structural relaxation, from Alexandria.

a = 10.108 Å, b = 10.108 Å, c = 10.108 Å
α = 90.00°, β = 90.00°, γ = 90.00°
Space group Fd-3m (No. 227, origin choice 2)
Inequivalent atoms, fractional coordinates:
1 Ac 0.125 0.125 0.125 (multiplicity 8)
2 Ta 0.000 0.000 0.500 (multiplicity 16)
3 N 0.102 0.375 0.875 (multiplicity 48)

Calculated values
M_tot (μB/f.u.): 0.6
Electronic total energy (eV per cell): -618.48
DOS(E_F) (states/eV/cell): 61.433

The following is a PBE-GGA calculation of KSe3 after structural relaxation, from Alexandria.

a = 2.846 Å, b = 2.846 Å, c = 13.692 Å
α = 90.00°, β = 90.00°, γ = 90.00°
Space group P4/mmm (No. 123)
Inequivalent atoms, fractional coordinates:
1 K 0.000 0.000 0.000 (multiplicity 1)
2 Se 0.000 0.000 0.500 (multiplicity 1)
3 Se 0.500 0.500 0.189 (multiplicity 2)

Calculated values
M_tot (μB/f.u.): 0.0
Electronic total energy (eV per cell): -11.66
DOS(E_F) (states/eV/cell): 1.612

The following is a PBE-GGA calculation of Cs3GaPb2 after structural relaxation, from Alexandria.

a = 22.546 Å, b = 4.726 Å, c = 14.954 Å
α = 90.00°, β = 116.39°, γ = 90.00°
Space group C2/m (No. 12)
Inequivalent atoms, fractional coordinates:
1 Cs 0.043 0.000 0.249 (multiplicity 4)
2 Cs 0.164 0.500 0.018 (multiplicity 4)
3 Cs 0.208 0.000 0.614 (multiplicity 4)
4 Ga 0.083 0.500 0.681 (multiplicity 4)
5 Pb 0.057 0.500 0.469 (multiplicity 4)
6 Pb 0.137 0.000 0.796 (multiplicity 4)

Calculated values
M_tot (μB/f.u.): 0.3
Electronic total energy (eV per cell): -52.45
Energy of formation from the pure elements (eV per atom): -0.02
DOS(E_F) (states/eV/cell): 24.875

The following is a PBE-GGA calculation of SiB after structural relaxation, from Alexandria.

a = 8.982 Å, b = 8.982 Å, c = 3.410 Å
α = 90.00°, β = 90.00°, γ = 90.00°
Space group P4/m (No. 83)
Inequivalent atoms, fractional coordinates:
1 Si 0.086 0.309 0.000 (multiplicity 4)
2 Si 0.144 0.650 0.500 (multiplicity 4)
3 B 0.074 0.437 0.500 (multiplicity 4)
4 B 0.154 0.757 0.000 (multiplicity 4)

Calculated values
M_tot (μB/f.u.): 0.0
Electronic total energy (eV per cell): -91.03
DOS(E_F) (states/eV/cell): 2.344

The following is a PBE-GGA calculation of CsVIr2 after structural relaxation, from Alexandria.

a = 7.334 Å, b = 7.334 Å, c = 7.830 Å
α = 90.00°, β = 90.00°, γ = 90.00°
Space group I-42d (No. 122)
Inequivalent atoms, fractional coordinates:
1 Cs 0.000 0.000 0.000 (multiplicity 4)
2 V 0.000 0.000 0.500 (multiplicity 4)
3 Ir 0.143 0.250 0.625 (multiplicity 8)

Calculated values
M_tot (μB/f.u.): 0.0
Electronic total energy (eV per cell): -96.61
Energy of formation from the pure elements (eV per atom): 0.89
DOS(E_F) (states/eV/cell): 0.144

The following is a PBE-GGA calculation of Li3Hg2Bi2 after structural relaxation, from Alexandria.

a = 9.287 Å, b = 4.436 Å, c = 9.122 Å
α = 90.00°, β = 117.99°, γ = 90.00°
Space group C2/m (No. 12)
Inequivalent atoms, fractional coordinates:
1 Li 0.000 0.000 0.000 (multiplicity 2)
2 Li 0.211 0.500 0.240 (multiplicity 4)
3 Hg 0.114 0.000 0.406 (multiplicity 4)
4 Bi 0.139 0.500 0.854 (multiplicity 4)

Calculated values
M_tot (μB/f.u.): 0.0
Electronic total energy (eV per cell): -32.42
Energy of formation from the pure elements (eV per atom): -0.30
DOS(E_F) (states/eV/cell): 3.222

The following is a PBE-GGA calculation of Dy4Cd3Au after structural relaxation, from Alexandria.

a = 3.694 Å, b = 3.694 Å, c = 14.898 Å
α = 90.00°, β = 90.00°, γ = 90.00°
Space group P4/mmm (No. 123)
Inequivalent atoms, fractional coordinates:
1 Dy 0.000 0.000 0.115 (multiplicity 2)
2 Dy 0.000 0.000 0.372 (multiplicity 2)
3 Cd 0.500 0.500 0.247 (multiplicity 2)
4 Cd 0.500 0.500 0.500 (multiplicity 1)
5 Au 0.500 0.500 0.000 (multiplicity 1)

Calculated values
M_tot (μB/f.u.): 0.0
Electronic total energy (eV per cell): -28.09
Energy of formation from the pure elements (eV per atom): -0.46
DOS(E_F) (states/eV/cell): 5.899

The following is a PBE-GGA calculation of Mo2RhSe after structural relaxation, from Alexandria.

a = 6.322 Å, b = 6.322 Å, c = 6.322 Å
α = 90.00°, β = 90.00°, γ = 90.00°
Space group F-43m (No. 216)
Inequivalent atoms, fractional coordinates:
1 Mo 0.000 0.000 0.000 (multiplicity 4)
2 Mo 0.250 0.250 0.250 (multiplicity 4)
3 Rh 0.000 0.000 0.500 (multiplicity 4)
4 Se 0.250 0.250 0.750 (multiplicity 4)

Calculated values
M_tot (μB/f.u.): 0.0
Electronic total energy (eV per cell): -123.22
DOS(E_F) (states/eV/cell): 19.879

The following is a PBE-GGA calculation of Tb2Ho2Pu after structural relaxation, from Alexandria.

a = 6.714 Å, b = 15.324 Å, c = 5.931 Å
α = 90.00°, β = 90.00°, γ = 90.00°
Space group Ibam (No. 72)
Inequivalent atoms, fractional coordinates:
1 Tb 0.155 0.189 0.000 (multiplicity 8)
2 Ho 0.132 0.413 0.000 (multiplicity 8)
3 Pu 0.000 0.000 0.250 (multiplicity 4)

Calculated values
M_tot (μB/f.u.): 5.7
Electronic total energy (eV per cell): -128.92
Energy of formation from the pure elements (eV per atom): 0.10
DOS(E_F) (states/eV/cell): 35.741

The following is a PBE-GGA calculation of InNi after structural relaxation, from Alexandria.

a = 5.226 Å, b = 7.993 Å, c = 13.365 Å
α = 90.00°, β = 90.00°, γ = 90.00°
Space group Fddd (No. 70, origin choice 2)
Inequivalent atoms, fractional coordinates:
1 In 0.125 0.300 0.125 (multiplicity 16)
2 Ni 0.125 0.125 0.537 (multiplicity 16)

Calculated values
M_tot (μB/f.u.): 0.0
Electronic total energy (eV per cell): -131.48
Energy of formation from the pure elements (eV per atom): 0.15
DOS(E_F) (states/eV/cell): 20.318

The following is a PBE-GGA calculation of HfZnGa after structural relaxation, from Alexandria.

a = 9.945 Å, b = 4.111 Å, c = 6.500 Å
α = 90.00°, β = 129.68°, γ = 90.00°
Space group C2/m (No. 12)
Inequivalent atoms, fractional coordinates:
1 Hf 0.052 0.000 0.305 (multiplicity 4)
2 Zn 0.158 0.500 0.108 (multiplicity 4)
3 Ga 0.164 0.500 0.701 (multiplicity 4)

Calculated values
M_tot (μB/f.u.): 0.0
Electronic total energy (eV per cell): -61.45
Energy of formation from the pure elements (eV per atom): -0.37
DOS(E_F) (states/eV/cell): 5.918

The following is a PBE-GGA calculation of Be2SeBr after structural relaxation, from Alexandria.

a = 5.378 Å, b = 5.378 Å, c = 10.548 Å
α = 90.00°, β = 90.00°, γ = 90.00°
Space group I-42d (No. 122)
Inequivalent atoms, fractional coordinates:
1 Be 0.207 0.250 0.125 (multiplicity 8)
2 Se 0.000 0.000 0.000 (multiplicity 4)
3 Br 0.000 0.000 0.500 (multiplicity 4)

Calculated values
M_tot (μB/f.u.): 0.0
Electronic total energy (eV per cell): -51.92
DOS(E_F) (states/eV/cell): 9.996